# TcOs4Rh | the Alexandria database | GGA-PBE | optimized geometry
data_TcOs4Rh
_space_group_name_H-M_alt 'P 1'
_space_group_IT_number 1
_space_group_name_Hall 'P 1'
_cell_length_a 6.7575
_cell_length_b 6.7575
_cell_length_c 4.7732
_cell_angle_alpha 96.93
_cell_angle_beta 96.93
_cell_angle_gamma 23.45
loop_
_atom_site_label
_atom_site_type_symbol
_atom_site_fract_x
_atom_site_fract_y
_atom_site_fract_z
Tc1 Tc 0.0000 0.0000 0.0000
Os1 Os 0.1698 0.1698 0.3916
Os2 Os 0.3309 0.3309 0.1135
Os3 Os 0.6691 0.6691 0.8865
Os4 Os 0.8302 0.8302 0.6084
Rh1 Rh 0.5000 0.5000 0.5000
# Calculated total energy   -10.4422 eV/atom
# Volume   14.3 Å³ per atom
# E above lowest polymorph   0.0 meV per atom
# ΔH_f (0 K)   0.00 eV/atom

---

# Tc2OsRh2 | the Alexandria database | GGA-PBE | optimized geometry
data_Tc2OsRh2
_space_group_name_H-M_alt 'P 1'
_space_group_IT_number 1
_space_group_name_Hall 'P 1'
_cell_length_a 7.3656
_cell_length_b 7.3656
_cell_length_c 2.7341
_cell_angle_alpha 90.00
_cell_angle_beta 90.00
_cell_angle_gamma 90.00
loop_
_atom_site_label
_atom_site_type_symbol
_atom_site_fract_x
_atom_site_fract_y
_atom_site_fract_z
Tc1 Tc 0.1740 0.3260 0.0000
Tc2 Tc 0.3260 0.8260 0.0000
Tc3 Tc 0.6740 0.1740 0.0000
Tc4 Tc 0.8260 0.6740 0.0000
Os1 Os 0.0000 0.0000 0.5000
Os2 Os 0.5000 0.5000 0.5000
Rh1 Rh 0.1241 0.6241 0.5000
Rh2 Rh 0.3759 0.1241 0.5000
Rh3 Rh 0.6241 0.8759 0.5000
Rh4 Rh 0.8759 0.3759 0.5000
# Calculated total energy   -9.0244 eV/atom
# Volume   14.8 Å³ per atom
# E above lowest polymorph   0.0 meV per atom
# ΔH_f (0 K)   0.31 eV/atom